# 1
The following is a GGA-PBEsol calculation of Mg2ReSi after structural relaxation, from the Alexandria database.

Values from the calculation:
Spin magnetization: 0.000 μB per atom
Space-group type: Pmmm (47)
VASP energy: -5.380 eV/atom
ΔE_f (raw): 0.25 eV per atom

Cell and atoms, written as CIF:
```
data_Mg2ReSi
_chemical_formula_sum 'Mg2 Re1 Si1'
_space_group_name_H-M_alt 'P 1'
_space_group_IT_number 1
_cell_length_a 3.398
_cell_length_b 4.092
_cell_length_c 4.377
_cell_angle_alpha 90.00
_cell_angle_beta 90.00
_cell_angle_gamma 90.00
loop_
_space_group_symop_operation_xyz
'x,y,z'
loop_
_atom_site_label
_atom_site_fract_x
_atom_site_fract_y
_atom_site_fract_z
Re1 0.500 0.000 0.500
Mg1 0.500 0.500 0.000
Mg2 0.000 0.000 0.000
Si1 0.000 0.500 0.500
```

# 2
The following is a GGA-PBEsol calculation of BeS after structural relaxation, from the Alexandria database.

Values from the calculation:
Spin magnetization: 0.000 μB per atom
Space-group type: F-43m (216)
VASP energy: -5.282 eV/atom
ΔE_f (raw): -1.09 eV per atom

Cell and atoms, written as CIF:
```
data_BeS
_chemical_formula_sum 'Be1 S1'
_space_group_name_H-M_alt 'P 1'
_space_group_IT_number 1
_cell_length_a 3.423
_cell_length_b 3.423
_cell_length_c 3.423
_cell_angle_alpha 60.00
_cell_angle_beta 60.00
_cell_angle_gamma 60.00
loop_
_space_group_symop_operation_xyz
'x,y,z'
loop_
_atom_site_label
_atom_site_fract_x
_atom_site_fract_y
_atom_site_fract_z
S1 0.750 0.750 0.750
Be1 0.000 0.000 0.000
```

# 3
The following is a GGA-PBEsol calculation of MgBBr2 after structural relaxation, from the Alexandria database.

Values from the calculation:
Energy relative to the lowest polymorph listed for this composition: 16.61 kJ/mol of atoms
Spin magnetization: 0.000 μB per atom
Space-group type: Fm-3m (225)
VASP energy: -2.650 eV/atom
ΔE_f (raw): 0.47 eV per atom

Cell and atoms, written as CIF:
```
data_MgBBr2
_chemical_formula_sum 'Mg1 B1 Br2'
_space_group_name_H-M_alt 'P 1'
_space_group_IT_number 1
_cell_length_a 4.795
_cell_length_b 4.795
_cell_length_c 4.795
_cell_angle_alpha 60.00
_cell_angle_beta 60.00
_cell_angle_gamma 60.00
loop_
_space_group_symop_operation_xyz
'x,y,z'
loop_
_atom_site_label
_atom_site_fract_x
_atom_site_fract_y
_atom_site_fract_z
Br1 0.250 0.250 0.250
B1 0.000 0.000 0.000
Mg1 0.500 0.500 0.500
Br2 0.750 0.750 0.750
```

# 4
The following is a GGA-PBEsol calculation of AlPPt after structural relaxation, from the Alexandria database.

Values from the calculation:
E_form: -128 meV per atom
Spin magnetization: 0.000 μB per atom
Space-group type: P-62m (189)
VASP energy: -5.743 eV/atom

Cell and atoms, written as CIF:
```
data_AlPPt
_chemical_formula_sum 'Al3 P3 Pt3'
_space_group_name_H-M_alt 'P 1'
_space_group_IT_number 1
_cell_length_a 3.440
_cell_length_b 6.775
_cell_length_c 6.775
_cell_angle_alpha 120.00
_cell_angle_beta 90.00
_cell_angle_gamma 90.00
loop_
_space_group_symop_operation_xyz
'x,y,z'
loop_
_atom_site_label
_atom_site_fract_x
_atom_site_fract_y
_atom_site_fract_z
P1 0.000 0.333 0.667
Al1 0.000 0.289 0.000
Pt1 0.500 0.661 0.000
Al2 0.000 0.711 0.711
Pt2 0.500 0.339 0.339
Al3 0.000 0.000 0.289
Pt3 0.500 0.000 0.661
P2 0.000 0.667 0.333
P3 0.500 0.000 0.000
```